DFT (PBE with a Hubbard U) results for an optimized crystal structure of NbFeF6.

The structure in extended XYZ format:
```
16
Lattice="5.2594 0.0000 0.0000 -2.6297 4.5547 0.0000 0.0000 0.0000 9.7764" Properties=species:S:1:pos:R:3 pbc="T T T"
Nb 0.0000 0.0000 4.8882
F 1.9687 3.0764 6.0915
F 3.2906 3.0764 8.5731
F -1.0189 4.3880 1.2033
F 1.6799 3.2432 1.2033
F 1.0189 4.3880 3.6849
F -1.6799 3.2432 3.6849
F -0.6610 1.4783 1.2033
F 4.3096 1.3116 6.0915
F 0.6610 1.4783 3.6849
F 3.6486 0.1667 8.5731
Fe 2.6297 1.5182 7.3323
Nb 0.0000 0.0000 0.0000
F 1.6107 0.1667 6.0915
F 0.9498 1.3116 8.5731
Fe 0.0000 3.0365 2.4441
```

## Properties
total energy	-6.084	eV per atom
magnetization	10.00	μB per cell
DOS(E_F)	13.22	states/eV per cell